Entry 1:
Compound: MgTlNi
Source: Alexandria via LeMat-Bulk
Functional: PBE
Structure: relaxed

Calculated values
Raw total energy in eV/atom: -3.20

Cell lengths 4.404, 4.404, 4.404 Å; angles 60.00, 60.00, 60.00 degrees
Atoms (fractional coordinates):
Mg: 0.000 0.000 0.000
Tl: 0.500 0.500 0.500
Ni: 0.750 0.750 0.750

Entry 2:
Compound: MgTl2Ni
Source: Alexandria via LeMat-Bulk
Functional: PBE
Structure: relaxed

Calculated values
Raw total energy in eV/atom: -2.94

Cell lengths 3.254, 3.254, 8.351 Å; angles 90.00, 90.00, 90.00 degrees
Atoms (fractional coordinates):
Mg: 0.000 0.000 0.000
Tl: 0.000 0.000 0.370
Tl: 0.500 0.500 0.702
Ni: 0.500 0.500 0.165

Entry 3:
Compound: Mg5Tl2Ni2
Source: Alexandria via LeMat-Bulk
Functional: PBE
Structure: relaxed

Calculated values
Raw total energy in eV/atom: -2.78

Cell lengths 9.201, 9.201, 6.597 Å; angles 90.00, 90.00, 41.77 degrees
Atoms (fractional coordinates):
Mg: 0.000 0.000 0.000
Mg: 0.062 0.722 0.670
Mg: 0.222 0.562 0.170
Mg: 0.278 0.938 0.670
Mg: 0.438 0.778 0.170
Mg: 0.500 0.500 0.500
Mg: 0.562 0.222 0.830
Mg: 0.722 0.062 0.330
Mg: 0.778 0.438 0.830
Mg: 0.938 0.278 0.330
Tl: 0.230 0.230 0.000
Tl: 0.270 0.270 0.500
Tl: 0.730 0.730 0.500
Tl: 0.770 0.770 0.000
Ni: 0.125 0.875 0.375
Ni: 0.375 0.625 0.875
Ni: 0.625 0.375 0.125
Ni: 0.875 0.125 0.625

Q: What is the raw total energy in the third record?
A: -2.78 eV/atom

Q: raw total energy of number 1 (MgTlNi)?
A: -3.20 eV/atom

Repeat the third record exactly.
Compound: Mg5Tl2Ni2
Source: Alexandria via LeMat-Bulk
Functional: PBE
Structure: relaxed

Calculated values
Raw total energy in eV/atom: -2.78

Cell lengths 9.201, 9.201, 6.597 Å; angles 90.00, 90.00, 41.77 degrees
Atoms (fractional coordinates):
Mg: 0.000 0.000 0.000
Mg: 0.062 0.722 0.670
Mg: 0.222 0.562 0.170
Mg: 0.278 0.938 0.670
Mg: 0.438 0.778 0.170
Mg: 0.500 0.500 0.500
Mg: 0.562 0.222 0.830
Mg: 0.722 0.062 0.330
Mg: 0.778 0.438 0.830
Mg: 0.938 0.278 0.330
Tl: 0.230 0.230 0.000
Tl: 0.270 0.270 0.500
Tl: 0.730 0.730 0.500
Tl: 0.770 0.770 0.000
Ni: 0.125 0.875 0.375
Ni: 0.375 0.625 0.875
Ni: 0.625 0.375 0.125
Ni: 0.875 0.125 0.625